Entry 1:
Material: KRbIn2I8
Method: DFT, GGA-PBE
State: optimized geometry

```
KRbIn2I8
1.0
7.903 0.000 0.000
0.000 7.903 0.000
-3.952 -3.952 9.541
I In K Rb
8 2 1 1
Cartesian
1.962 2.770 6.328 I
5.175 5.926 1.512 I
1.974 -1.223 8.029 I
2.729 1.977 1.512 I
-1.974 1.223 8.029 I
-1.962 5.133 6.328 I
-1.181 1.989 3.213 I
1.181 5.914 3.213 I
3.952 3.952 0.000 In
0.000 3.952 4.770 In
0.000 0.000 0.000 K
3.952 0.000 4.770 Rb
```

Results
The calculation puts the uncorrected formation energy at -0.842 eV/atom.

***

Entry 2:
Material: Ni2AgPd
Method: DFT, GGA-PBE
State: optimized geometry

```
Ni2AgPd
1.0
-0.831 -3.099 1.795
3.737 -0.460 0.936
-0.564 2.036 3.254
Pd Ni Ag
1 2 1
Cartesian
-0.416 -1.550 0.897 Pd
-0.282 1.018 1.627 Ni
1.868 -0.230 0.468 Ni
1.170 -0.762 2.992 Ag
```

Results
The energy above the most stable polymorph in this dataset comes out at 9 meV/atom. The calculation puts the calculated formation energy at 170.9 meV per atom.

***

Entry 3:
Material: ZrAsRh2
Method: DFT, GGA-PBE
State: optimized geometry

```
ZrAsRh2
1.0
-1.532 -2.695 1.413
1.711 -2.071 -2.095
4.245 -0.393 3.855
As Zr Rh
1 1 2
Cartesian
3.273 -2.677 2.550 As
1.151 -2.481 0.623 Zr
4.222 -0.391 3.834 Rh
2.146 -0.199 1.949 Rh
```

Results
The calculation puts the calculated formation energy at -575.6 meV per atom.

***

Entry 4:
Material: CaCrTc2
Method: DFT, GGA-PBE
State: optimized geometry

```
CaCrTc2
1.0
-2.153 -1.481 -3.253
0.278 -3.754 1.525
-6.950 1.998 6.184
Tc Ca Cr
4 2 2
Cartesian
-4.959 -1.345 2.999 Tc
-4.830 -2.276 0.685 Tc
-6.547 1.651 5.257 Tc
-5.253 -0.372 5.447 Tc
-2.805 0.160 0.905 Ca
-1.605 -2.776 -1.134 Ca
-6.279 0.748 2.983 Cr
-6.094 -0.224 0.559 Cr
```

Results
The energy above the most stable polymorph in this dataset comes out at 96 meV/atom. The calculation puts the calculated formation energy at 319.0 meV per atom.

***

Entry 5:
Material: Tb2PmPb
Method: DFT, GGA-PBE
State: optimized geometry

```
Tb2PmPb
1.0
-3.467 -1.059 -0.109
-1.461 -1.721 2.839
-4.754 8.815 5.213
Tb Pb Pm
2 1 1
Cartesian
-4.016 6.505 4.192 Tb
-2.378 1.377 1.927 Tb
-3.287 -1.849 1.822 Pb
-4.841 3.020 3.972 Pm
```

Results
The energy above the most stable polymorph in this dataset comes out at 150 meV/atom. The calculation puts the calculated formation energy at -153.6 meV per atom.

***

Entry 6:
Material: Li4Br2Cl
Method: DFT, GGA-PBE
State: optimized geometry

```
Li4Br2Cl
1.0
4.784 0.000 0.000
0.000 4.784 0.000
2.392 2.392 7.086
Br Li Cl
2 4 1
Cartesian
4.784 4.784 5.281 Br
2.392 2.392 1.805 Br
2.392 2.392 4.369 Li
4.784 4.784 2.717 Li
2.392 0.000 0.000 Li
0.000 2.392 0.000 Li
0.000 0.000 0.000 Cl
```

Results
The calculation puts the uncorrected formation energy at -1.132 eV/atom.

***

Entry 7:
Material: GdZr2Ti
Method: DFT, GGA-PBE
State: optimized geometry

```
GdZr2Ti
1.0
3.129 0.000 0.000
0.000 3.129 0.000
0.000 0.000 9.676
Zr Gd Ti
2 1 1
Cartesian
0.000 0.000 7.638 Zr
0.000 0.000 2.038 Zr
1.565 1.565 4.838 Gd
1.565 1.565 0.000 Ti
```

Results
The energy above the most stable polymorph in this dataset comes out at 0 meV/atom. The calculation puts the calculated formation energy at 104.1 meV per atom.

***

Entry 8:
Material: Ho4RuRh
Method: DFT, GGA-PBE
State: optimized geometry

```
Ho4RuRh
1.0
-3.250 -2.968 -5.154
-0.855 -5.578 3.752
-5.846 2.479 2.353
Rh Ru Ho
2 2 8
Cartesian
-2.053 -4.273 -0.701 Rh
0.000 0.000 0.000 Rh
-3.350 -1.550 3.052 Ru
-4.548 -0.245 -1.400 Ru
-2.789 -5.260 1.780 Ho
-7.161 -0.808 -0.829 Ho
-5.684 -0.286 2.395 Ho
-3.352 -2.025 0.339 Ho
-5.121 -3.519 3.835 Ho
-4.267 -5.781 -1.444 Ho
-6.599 -4.043 0.612 Ho
-4.830 -2.549 -2.884 Ho
```

Results
The energy above the most stable polymorph in this dataset comes out at 69 meV/atom. The calculation puts the calculated formation energy at -467.4 meV per atom.

***

Entry 9:
Material: GaNi3As
Method: DFT, GGA-PBE
State: optimized geometry

```
GaNi3As
1.0
3.877 0.000 0.000
0.000 5.111 0.000
0.000 0.000 7.028
Ga Ni As
2 6 2
Cartesian
0.000 0.724 4.566 Ga
0.000 3.279 2.461 Ga
0.000 0.596 2.134 Ni
0.000 3.151 4.894 Ni
1.938 2.025 3.211 Ni
1.938 1.520 5.660 Ni
1.938 4.581 3.817 Ni
1.938 4.075 1.368 Ni
1.938 3.802 6.086 As
1.938 1.246 0.942 As
```

Results
The energy above the most stable polymorph in this dataset comes out at 0 meV/atom. The calculation puts the calculated formation energy at -259.4 meV per atom.

***

Entry 10:
Material: MgBi2RhBr
Method: DFT, GGA-PBE
State: optimized geometry

```
MgBi2RhBr
1.0
5.567 0.000 0.000
0.000 5.567 0.000
0.000 0.000 4.672
Bi Rh Mg Br
2 1 1 1
Cartesian
2.784 0.000 0.000 Bi
0.000 2.784 0.000 Bi
0.000 0.000 2.336 Rh
0.000 0.000 0.000 Mg
2.784 2.784 2.336 Br
```

Results
The calculation puts the uncorrected formation energy at 0.662 eV/atom.

***

Entry 11:
Material: BeTeSe3
Method: DFT, GGA-PBE
State: optimized geometry

```
BeTeSe3
1.0
4.660 0.000 0.000
0.000 4.660 0.000
0.000 0.000 4.660
Be Se Te
1 3 1
Cartesian
0.000 0.000 0.000 Be
2.330 0.000 0.000 Se
0.000 2.330 0.000 Se
0.000 0.000 2.330 Se
2.330 2.330 2.330 Te
```

Results
The energy above the most stable polymorph in this dataset comes out at 0 meV/atom. The calculation puts the uncorrected formation energy at 0.232 eV/atom.

***

Entry 12:
Material: Pr6SmHo2Tm3
Method: DFT, GGA-PBE
State: optimized geometry

```
Pr6SmHo2Tm3
1.0
-0.445 4.285 4.587
0.618 -6.095 1.438
11.543 1.783 -1.981
Pr Tm Ho Sm
6 3 2 1
Cartesian
2.776 1.727 1.539 Pr
8.585 1.711 3.555 Pr
8.677 0.882 0.020 Pr
8.940 -1.754 2.504 Pr
3.039 -0.909 4.023 Pr
3.131 -1.737 0.488 Pr
5.858 -0.013 2.022 Tm
5.504 3.445 3.071 Tm
6.212 -3.472 0.972 Tm
-0.091 0.824 3.537 Ho
0.264 -2.634 2.488 Ho
0.000 0.000 0.000 Sm
```

Results
The calculation puts the calculated formation energy at 14.6 meV per atom.

***

Entry 13:
Material: ScNi3Sn
Method: DFT, GGA-PBE
State: optimized geometry

```
ScNi3Sn
1.0
4.702 0.000 0.000
0.000 4.519 -2.378
0.000 0.719 6.850
Ni Sc Sn
6 2 2
Cartesian
1.175 4.172 -0.281 Ni
2.351 0.000 0.000 Ni
1.175 1.925 0.901 Ni
3.526 1.067 4.753 Ni
0.000 0.000 0.000 Ni
3.526 3.313 3.571 Ni
3.526 2.696 -0.359 Sc
1.175 2.542 4.831 Sc
3.526 1.159 2.202 Sn
1.175 4.080 2.270 Sn
```

Results
The energy above the most stable polymorph in this dataset comes out at 0 meV/atom. The calculation puts the calculated formation energy at -370.4 meV per atom.

***

Entry 14:
Material: NaTb2Pb
Method: DFT, GGA-PBE
State: optimized geometry

```
NaTb2Pb
1.0
-3.735 -2.454 0.673
2.036 -1.960 4.154
-1.964 3.736 2.725
Tb Pb Na
2 1 1
Cartesian
1.018 -0.980 2.077 Tb
-0.982 1.868 1.362 Tb
-1.868 -1.227 0.336 Pb
-1.832 -0.339 3.776 Na
```

Results
The calculation puts the calculated formation energy at -172.4 meV per atom.

***

Entry 15:
Material: Sr3Th3MoN8
Method: DFT, GGA-PBE
State: optimized geometry

```
Sr3Th3MoN8
1.0
-4.855 1.866 4.872
-2.054 -3.160 -6.049
3.551 -3.917 5.040
Mo Sr Th N
1 3 3 8
Cartesian
1.776 -1.958 2.520 Mo
-3.454 -0.647 -0.588 Sr
0.000 0.000 0.000 Sr
-1.027 -1.580 -3.024 Sr
0.749 -3.539 -0.505 Th
-1.679 -2.606 1.931 Th
-0.652 -1.025 4.956 Th
-2.024 -2.936 4.320 N
-1.334 -2.275 -0.458 N
-0.582 -5.392 -1.441 N
-2.775 0.181 5.303 N
0.570 -3.618 1.954 N
-3.308 -4.345 1.294 N
-0.050 -0.866 2.569 N
-3.928 -1.593 1.908 N
```

Results
The calculation puts the uncorrected formation energy at -1.067 eV/atom.

***

Entry 16:
Material: TcBCl3
Method: DFT, GGA-PBE
State: optimized geometry

```
TcBCl3
1.0
4.898 0.000 0.000
0.000 4.898 0.000
0.000 0.000 4.898
Tc Cl B
1 3 1
Cartesian
0.000 0.000 0.000 Tc
0.000 0.000 2.449 Cl
0.000 2.449 0.000 Cl
2.449 0.000 0.000 Cl
2.449 2.449 2.449 B
```

Results
The calculation puts the uncorrected formation energy at 0.779 eV/atom.

***

Entry 17:
Material: Tb6TlIn
Method: DFT, GGA-PBE
State: optimized geometry

```
Tb6TlIn
1.0
4.865 0.000 0.000
0.000 4.865 0.000
0.000 0.000 9.734
Tb In Tl
6 1 1
Cartesian
2.433 0.000 2.448 Tb
2.433 0.000 7.285 Tb
2.433 2.433 0.000 Tb
0.000 2.433 7.285 Tb
0.000 2.433 2.448 Tb
2.433 2.433 4.867 Tb
0.000 0.000 4.867 In
0.000 0.000 0.000 Tl
```

Results
The calculation puts the calculated formation energy at -227.6 meV per atom.

***

Entry 18:
Material: Li3Tc
Method: DFT, GGA-PBE
State: optimized geometry

```
Li3Tc
1.0
5.222 0.000 0.000
0.000 5.222 0.000
0.000 0.000 5.222
Li Tc
3 1
Cartesian
2.611 0.000 0.000 Li
0.000 2.611 0.000 Li
0.000 0.000 2.611 Li
0.000 0.000 0.000 Tc
```

Results
The energy above the most stable polymorph in this dataset comes out at 1256 meV/atom. The calculation puts the calculated formation energy at 1413.8 meV per atom.

***

Entry 19:
Material: Ce4Te2C
Method: DFT, GGA-PBE
State: optimized geometry

```
Ce4Te2C
1.0
-3.120 1.774 -1.640
-3.176 0.264 6.328
6.144 5.352 -1.152
Te Ce C
2 4 1
Cartesian
-1.717 4.053 2.902 Te
1.564 3.337 0.634 Te
-1.412 2.201 0.320 Ce
-1.654 1.409 4.669 Ce
1.500 5.981 -1.134 Ce
1.259 5.189 3.215 Ce
0.000 0.000 0.000 C
```

Results
The energy above the most stable polymorph in this dataset comes out at 117 meV/atom. The calculation puts the uncorrected formation energy at -0.680 eV/atom.

***

Entry 20:
Material: KTl2VCl6
Method: DFT, GGA-PBE
State: optimized geometry

```
KTl2VCl6
1.0
7.792 0.010 0.010
3.904 6.743 0.011
3.907 2.258 5.767
V K Cl Tl
1 1 6 2
Cartesian
3.899 2.251 0.304 V
11.701 6.757 3.198 K
5.830 1.916 1.689 Cl
2.645 0.759 1.705 Cl
8.468 2.664 4.683 Cl
5.875 4.845 4.685 Cl
9.060 6.001 4.669 Cl
3.237 4.097 1.691 Cl
3.899 2.257 4.284 Tl
7.806 4.503 2.091 Tl
```

Results
The calculation puts the uncorrected formation energy at -1.299 eV/atom.

***

Looking at total magnetization for the records above, in order, we have 0.00; 1.48; 0.00; 0.00; 0.00; 0.00; 7.25; 0.00; 0.00; 0.00; 0.00; 0.00; 0.00; 0.39; 0.00; 3.42; 1.36; 2.48; 5.36; 2.00 μB/f.u..